No. 1
Here is a geometry-optimized BaPrAg2 structure from the Alexandria database. Energies are from GGA-PBE.

## Properties
calculated volume: 30.58 Å³/atom
symmetry: No. 225
energy relative to the elements: -0.133 eV per atom

Lattice parameters (Å, degrees): 5.572 5.572 5.572 60.00 60.00 60.00
Positions (direct):
Ba 0.000 0.000 0.000
Pr 0.500 0.500 0.500
Ag 0.250 0.250 0.250
Ag 0.750 0.750 0.750

No. 2
Here is a geometry-optimized BaPr2Ag6 structure from the Alexandria database. Energies are from GGA-PBE.

## Properties
calculated volume: 26.04 Å³/atom
symmetry: No. 191
energy relative to the elements: -0.231 eV per atom

Lattice parameters (Å, degrees): 8.446 8.446 3.794 90.00 90.00 120.00
Positions (direct):
Ba 0.000 0.000 0.000
Pr 0.333 0.667 0.000
Pr 0.667 0.333 0.000
Ag 0.000 0.338 0.500
Ag 0.000 0.662 0.500
Ag 0.338 0.000 0.500
Ag 0.338 0.338 0.500
Ag 0.662 0.000 0.500
Ag 0.662 0.662 0.500

No. 3
Here is a geometry-optimized BaPrAg2 structure from the Alexandria database. Energies are from GGA-PBE.

## Properties
calculated volume: 30.75 Å³/atom
symmetry: No. 123
energy relative to the elements: -0.231 eV per atom

Lattice parameters (Å, degrees): 3.936 3.936 7.939 90.00 90.00 90.00
Positions (direct):
Ba 0.000 0.000 0.000
Pr 0.000 0.000 0.500
Ag 0.500 0.500 0.296
Ag 0.500 0.500 0.704

No. 4
Here is a geometry-optimized BaPrAgPt structure from the Alexandria database. Energies are from GGA-PBE.

## Properties
calculated volume: 27.77 Å³/atom
symmetry: No. 216
energy relative to the elements: -0.433 eV per atom

Lattice parameters (Å, degrees): 5.396 5.396 5.396 60.00 60.00 60.00
Positions (direct):
Ba 0.000 0.000 0.000
Pr 0.500 0.500 0.500
Ag 0.750 0.750 0.750
Pt 0.250 0.250 0.250

No. 5
Here is a geometry-optimized BaPrAgRh structure from the Alexandria database. Energies are from GGA-PBE.

## Properties
calculated volume: 27.01 Å³/atom
symmetry: No. 216
energy relative to the elements: -0.195 eV per atom

Lattice parameters (Å, degrees): 5.346 5.346 5.346 60.00 60.00 60.00
Positions (direct):
Ba 0.000 0.000 0.000
Pr 0.500 0.500 0.500
Ag 0.250 0.250 0.250
Rh 0.750 0.750 0.750

No. 6
Here is a geometry-optimized Ba2PrAg2S4 structure from the Alexandria database. Energies are from GGA-PBE.

## Properties
calculated volume: 25.84 Å³/atom
symmetry: No. 12
ΔE_f (raw): -1343 meV/atom

Lattice parameters (Å, degrees): 8.177 8.177 7.871 112.95 112.95 28.86
Positions (direct):
Ba 0.135 0.135 0.079
Ba 0.865 0.865 0.921
Pr 0.000 0.000 0.500
Ag 0.315 0.315 0.489
Ag 0.685 0.685 0.511
S 0.194 0.194 0.741
S 0.480 0.480 0.751
S 0.520 0.520 0.249
S 0.806 0.806 0.259

No. 7
Here is a geometry-optimized BaPrAg2S4 structure from the Alexandria database. Energies are from GGA-PBE.

## Properties
calculated volume: 25.74 Å³/atom
symmetry: No. 23
ΔE_f (raw): -1112 meV/atom

Lattice parameters (Å, degrees): 6.473 6.473 6.473 113.58 113.52 101.59
Positions (direct):
Ba 0.000 0.000 0.000
Pr 0.500 0.500 0.000
Ag 0.251 0.751 0.500
Ag 0.749 0.249 0.500
S 0.069 0.069 0.560
S 0.491 0.931 0.000
S 0.509 0.509 0.440
S 0.931 0.491 0.000

No. 8
Here is a geometry-optimized Ba2PrAgS4 structure from the Alexandria database. Energies are from GGA-PBE.

## Properties
calculated volume: 28.40 Å³/atom
symmetry: No. 10
ΔE_f (raw): -1586 meV/atom

Lattice parameters (Å, degrees): 7.472 4.330 7.499 90.00 110.55 90.00
Positions (direct):
Ba 0.000 0.000 0.000
Ba 0.000 0.500 0.500
Pr 0.500 0.000 0.500
Ag 0.500 0.500 0.000
S 0.272 0.500 0.270
S 0.281 0.000 0.754
S 0.719 0.000 0.246
S 0.728 0.500 0.730

No. 9
Here is a geometry-optimized Ba2PrAgSe4 structure from the Alexandria database. Energies are from GGA-PBE.

## Properties
calculated volume: 31.66 Å³/atom
symmetry: No. 10
ΔE_f (raw): -1538 meV/atom

Lattice parameters (Å, degrees): 7.733 4.484 7.805 90.00 110.63 90.00
Positions (direct):
Ba 0.000 0.000 0.000
Ba 0.000 0.500 0.500
Pr 0.500 0.000 0.500
Ag 0.500 0.500 0.000
Se 0.272 0.500 0.268
Se 0.284 0.000 0.758
Se 0.716 0.000 0.242
Se 0.728 0.500 0.732

No. 10
Here is a geometry-optimized Ba2PrAg2Se4 structure from the Alexandria database. Energies are from GGA-PBE.

## Properties
calculated volume: 28.63 Å³/atom
symmetry: No. 12
ΔE_f (raw): -1313 meV/atom

Lattice parameters (Å, degrees): 8.424 8.424 8.088 112.41 112.41 29.24
Positions (direct):
Ba 0.135 0.135 0.083
Ba 0.865 0.865 0.917
Pr 0.000 0.000 0.500
Ag 0.313 0.313 0.494
Ag 0.687 0.687 0.506
Se 0.196 0.196 0.736
Se 0.481 0.481 0.754
Se 0.519 0.519 0.246
Se 0.804 0.804 0.264

No. 11
Here is a geometry-optimized BaPr2Ag2Sn2 structure from the Alexandria database. Energies are from GGA-PBE.

## Properties
calculated volume: 30.52 Å³/atom
symmetry: No. 166
energy relative to the elements: -0.470 eV per atom

Lattice parameters (Å, degrees): 10.333 10.333 10.333 27.92 27.92 27.92
Positions (direct):
Ba 0.000 0.000 0.000
Pr 0.135 0.135 0.135
Pr 0.865 0.865 0.865
Ag 0.428 0.428 0.428
Ag 0.572 0.572 0.572
Sn 0.254 0.254 0.254
Sn 0.746 0.746 0.746

No. 12
Here is a geometry-optimized BaPr2AgTe4 structure from the Alexandria database. Energies are from GGA-PBE.

## Properties
calculated volume: 34.98 Å³/atom
symmetry: No. 63
ΔE_f (raw): -1288 meV/atom

Lattice parameters (Å, degrees): 7.986 7.986 15.915 90.00 90.00 146.54
Positions (direct):
Ba 0.127 0.873 0.750
Ba 0.873 0.127 0.250
Pr 0.374 0.626 0.563
Pr 0.374 0.626 0.937
Pr 0.626 0.374 0.063
Pr 0.626 0.374 0.437
Ag 0.149 0.851 0.250
Ag 0.851 0.149 0.750
Te 0.000 0.000 0.000
Te 0.000 0.000 0.500
Te 0.272 0.728 0.115
Te 0.272 0.728 0.385
Te 0.455 0.545 0.750
Te 0.545 0.455 0.250
Te 0.728 0.272 0.615
Te 0.728 0.272 0.885

No. 13
Here is a geometry-optimized BaPrZnAg structure from the Alexandria database. Energies are from GGA-PBE.

## Properties
calculated volume: 30.10 Å³/atom
symmetry: No. 216
energy relative to the elements: -0.125 eV per atom

Lattice parameters (Å, degrees): 5.543 5.543 5.543 60.00 60.00 60.00
Positions (direct):
Ba 0.000 0.000 0.000
Pr 0.500 0.500 0.500
Zn 0.250 0.250 0.250
Ag 0.750 0.750 0.750